Record 1
DFT (GGA-PBE) results for a relaxed structure of Sm4Si2O.

a b c (Å): 6.6921 6.7105 8.3417
angles (deg): 90.00 108.10 90.00
Element x y z (fractional)
Sm 0.4994 0.0004 0.2594
Sm 0.0816 0.7500 0.9107
Sm 0.9184 0.2500 0.0893
O 0.2650 0.7500 0.1924
Si 0.7479 0.7500 0.5646
Sm 0.9403 0.2500 0.6276
Sm 0.0597 0.7500 0.3724
Sm 0.5006 0.5004 0.7406
Sm 0.4994 0.4996 0.2594
Si 0.2521 0.2500 0.4354
O 0.7350 0.2500 0.8076
Si 0.2816 0.2500 0.9505
Sm 0.5006 0.9996 0.7406
Si 0.7184 0.7500 0.0495

Summary:
Space group: No. 11
Formation energy without anion corrections (eV per atom): -1.18
Distance to the lowest polymorph of the same formula (meV/atom): 0
Calculated volume (Å³/cell): 356
ρ (g/cm3): 6.3

Record 2
DFT (GGA-PBE) results for a relaxed structure of SmSiO3.

a b c (Å): 6.0941 5.4173 10.2556
angles (deg): 90.00 101.10 90.00
Element x y z (fractional)
Si 0.9206 0.9263 0.5868
O 0.1133 0.7439 0.6744
O 0.3488 0.3673 0.1917
O 0.8867 0.2561 0.3256
Si 0.4206 0.5737 0.0868
O 0.1512 0.8673 0.3083
O 0.8488 0.1327 0.6917
O 0.8254 0.3127 0.9835
Sm 0.4741 0.9476 0.6802
O 0.6746 0.8127 0.5165
O 0.6133 0.7561 0.1744
O 0.3867 0.2439 0.8256
Sm 0.5259 0.0524 0.3198
Sm 0.9741 0.5524 0.1802
Sm 0.0259 0.4476 0.8198
O 0.3254 0.1873 0.4835
Si 0.0794 0.0737 0.4132
O 0.6512 0.6327 0.8083
O 0.1746 0.6873 0.0165
Si 0.5794 0.4263 0.9132

Summary:
Space group: No. 14
Formation energy without anion corrections (eV per atom): -2.93
Calculated volume (Å³/cell): 332
ρ (g/cm3): 4.5

Record 3
DFT (GGA-PBE) results for a relaxed structure of Sm3SiO.

a b c (Å): 4.7892 4.7892 4.7892
angles (deg): 90.00 90.00 90.00
Element x y z (fractional)
Si 0.5000 0.5000 0.5000
Sm 0.0000 0.0000 0.5000
Sm 0.0000 0.5000 0.0000
O 0.0000 0.0000 0.0000
Sm 0.5000 0.0000 0.0000

Summary:
Space group: No. 221
Formation energy without anion corrections (eV per atom): -1.31
Calculated volume (Å³/cell): 110
ρ (g/cm3): 7.5

Record 4
DFT (GGA-PBE) results for a relaxed structure of Sm4Si2O.

a b c (Å): 4.6096 4.6096 8.6028
angles (deg): 105.54 105.54 90.00
Element x y z (fractional)
O 0.0000 0.0000 0.0000
Sm 0.5000 0.0000 0.0000
Si 0.6360 0.6360 0.2719
Sm 0.0000 0.5000 0.0000
Si 0.3640 0.3640 0.7281
Sm 0.1779 0.1779 0.3557
Sm 0.8221 0.8221 0.6443

Summary:
Space group: No. 139
Formation energy without anion corrections (eV per atom): -1.17
Distance to the lowest polymorph of the same formula (meV/atom): 7
Calculated volume (Å³/cell): 169
ρ (g/cm3): 6.6

Record 5
DFT (GGA-PBE) results for a relaxed structure of Sm3Si2O.

a b c (Å): 5.8887 7.4499 7.1470
angles (deg): 104.85 114.33 90.00
Element x y z (fractional)
Sm 0.4496 0.2500 0.0000
Sm 0.8638 0.9246 0.7134
Sm 0.5504 0.7500 0.0000
Si 0.6835 0.5849 0.3487
Sm 0.1362 0.0754 0.2866
Si 0.3165 0.4151 0.6513
Si 0.3348 0.9151 0.6513
Sm 0.8496 0.4246 0.7134
Si 0.6652 0.0849 0.3487
O 0.0497 0.2500 0.0000
O 0.9503 0.7500 0.0000
Sm 0.1504 0.5754 0.2866

Summary:
Space group: No. 15
Formation energy without anion corrections (eV per atom): -1.23
Calculated volume (Å³/cell): 274
ρ (g/cm3): 6.3

Record 6
DFT (GGA-PBE) results for a relaxed structure of SrSmSi2O6.

a b c (Å): 7.0483 7.0483 6.2221
angles (deg): 104.27 104.27 86.63
Element x y z (fractional)
O 0.9112 0.3573 0.1757
O 0.0888 0.6427 0.8243
Sr 0.8138 0.1862 0.7500
Si 0.8617 0.7152 0.7470
Si 0.7152 0.8617 0.2470
O 0.7076 0.5246 0.6485
O 0.3573 0.9112 0.6757
O 0.5246 0.7076 0.1485
Sm 0.3894 0.6106 0.7500
Sr 0.1862 0.8138 0.2500
O 0.6427 0.0888 0.3243
Si 0.2848 0.1383 0.7530
Si 0.1383 0.2848 0.2530
O 0.4754 0.2924 0.8515
O 0.8431 0.8168 0.5108
O 0.1569 0.1832 0.4892
O 0.2924 0.4754 0.3515
O 0.8168 0.8431 0.0108
O 0.1832 0.1569 0.9892
Sm 0.6106 0.3894 0.2500

Summary:
Space group: No. 15
Formation energy without anion corrections (eV per atom): -2.79
Calculated volume (Å³/cell): 290
ρ (g/cm3): 4.5